Ac2ZnAg3: relaxed, PBE.

Cell lengths 4.058, 4.763, 8.368 Å; angles 90.00, 90.00, 90.00 degrees
Space group Pmm2 (No. 25)
Unique sites:
Ac 0.000 0.000 0.000 (multiplicity 1)
Ac 0.000 0.500 0.497 (multiplicity 1)
Zn 0.500 0.500 0.830 (multiplicity 1)
Ag 0.500 0.000 0.336 (multiplicity 1)
Ag 0.500 0.000 0.675 (multiplicity 1)
Ag 0.500 0.500 0.154 (multiplicity 1)

Calculated values
Magnetic moment = 0.000 μB per cell
Crystal system = orthorhombic
Electronic total energy = -3.3230 eV/atom
ΔE_f = -1.89 eV/f.u.

---

TaCd3Ag: relaxed, PBE.

Cell lengths 5.006, 5.006, 5.006 Å; angles 90.00, 90.00, 90.00 degrees
Space group Pm-3m (No. 221)
Unique sites:
Ta 0.000 0.000 0.000 (multiplicity 1)
Cd 0.000 0.500 0.500 (multiplicity 3)
Ag 0.500 0.500 0.500 (multiplicity 1)

Calculated values
Magnetic moment = 0.001 μB per cell
Crystal system = cubic
Electronic total energy = -2.2894 eV/atom
ΔE_f = 6.00 eV/f.u.

---

Mg3AsN: relaxed, PBE.

Cell lengths 4.830, 4.830, 4.830 Å; angles 90.00, 90.00, 90.00 degrees
Space group Pm-3m (No. 221)
Unique sites:
Mg 0.000 0.000 0.500 (multiplicity 3)
As 0.000 0.000 0.000 (multiplicity 1)
N 0.500 0.500 0.500 (multiplicity 1)

Calculated values
Magnetic moment = 0.000 μB per cell
Crystal system = cubic
Electronic total energy = -2.7875 eV/atom

---

- Which of these has the lowest electronic total energy?
  Ac2ZnAg3

---

- Which formula does entry 2 have?
  TaCd3Ag

---

- magnetic moment of number 1 (Ac2ZnAg3)?
  0.000 μB per cell